Fe2Sb4As: optimized geometry, PBE.

Calculated values
ρ	6.1	g cm⁻³
crystal system	tetragonal
size of the total moment	4.5	μB per formula unit

Cell: 5.2692 5.2692 13.1059 Å, 90.00 90.00 90.00°
Space group I4/mmm (No. 139)
Inequivalent atoms, fractional coordinates:
Fe1 0.0000 0.0000 0.0849
Sb1 0.0000 0.0000 0.2760
Sb2 0.0000 0.5000 0.0000
As1 0.0000 0.0000 0.5000

FeSb2As: optimized geometry, PBE.

Calculated values
ρ	7.4	g cm⁻³
crystal system	tetragonal
size of the total moment	2.8	μB per formula unit

Cell: 4.9129 4.9129 3.4646 Å, 90.00 90.00 90.00°
Space group P4/mmm (No. 123)
Inequivalent atoms, fractional coordinates:
Fe1 0.0000 0.0000 0.0000
Sb1 0.0000 0.5000 0.5000
As1 0.5000 0.5000 0.0000

FeSbAs2: optimized geometry, PBE.

Calculated values
ρ	7.1	g cm⁻³
crystal system	tetragonal
size of the total moment	2.5	μB per formula unit

Cell: 4.2480 4.2480 8.5009 Å, 90.00 90.00 90.00°
Space group I-4m2 (No. 119)
Inequivalent atoms, fractional coordinates:
Fe1 0.0000 0.0000 0.0000
Sb1 0.0000 0.5000 0.7500
As1 0.0000 0.0000 0.5000
As2 0.0000 0.5000 0.2500

Fe2SbAs: optimized geometry, PBE.

Calculated values
ρ	8.2	g cm⁻³
crystal system	orthorhombic
size of the total moment	4.0	μB per formula unit

Cell: 3.1152 3.1502 6.3831 Å, 90.00 90.00 90.00°
Space group Pmmm (No. 47)
Inequivalent atoms, fractional coordinates:
Fe1 0.0000 0.0000 0.2037
Sb1 0.5000 0.5000 0.5000
As1 0.5000 0.5000 0.0000

FeSbAs2: optimized geometry, PBE.

Calculated values
ρ	6.5	g cm⁻³
crystal system	monoclinic
size of the total moment	0.0	μB per formula unit

Cell: 6.8953 2.9605 8.4976 Å, 90.00 105.89 90.00°
Space group C2/m (No. 12)
Inequivalent atoms, fractional coordinates:
Fe1 0.0000 0.0000 0.0000
Sb1 0.0000 0.5000 0.5000
As1 0.1519 0.5000 0.8495

FeSbAs2: optimized geometry, PBE.

Calculated values
ρ	7.0	g cm⁻³
crystal system	tetragonal
size of the total moment	2.7	μB per formula unit

Cell: 4.8562 4.8562 3.2810 Å, 90.00 90.00 90.00°
Space group P4/mmm (No. 123)
Inequivalent atoms, fractional coordinates:
Fe1 0.0000 0.0000 0.0000
Sb1 0.5000 0.5000 0.0000
As1 0.0000 0.5000 0.5000

FeSb2As: optimized geometry, PBE.

Calculated values
ρ	7.2	g cm⁻³
crystal system	orthorhombic
size of the total moment	2.9	μB per formula unit

Cell: 3.5822 4.5172 5.3532 Å, 90.00 90.00 90.00°
Space group Pmmm (No. 47)
Inequivalent atoms, fractional coordinates:
Fe1 0.0000 0.0000 0.0000
Sb1 0.0000 0.5000 0.5000
Sb2 0.5000 0.5000 0.0000
As1 0.5000 0.0000 0.5000

FeSbAs2: optimized geometry, PBE.

Calculated values
ρ	6.9	g cm⁻³
crystal system	tetragonal
size of the total moment	2.8	μB per formula unit

Cell: 3.9063 3.9063 5.1395 Å, 90.00 90.00 90.00°
Space group P4/mmm (No. 123)
Inequivalent atoms, fractional coordinates:
Fe1 0.0000 0.0000 0.0000
Sb1 0.5000 0.5000 0.0000
As1 0.0000 0.5000 0.5000

Fe2SbAs: optimized geometry, PBE.

Calculated values
ρ	6.3	g cm⁻³
crystal system	tetragonal
size of the total moment	0.0	μB per formula unit

Cell: 5.4719 5.4719 10.8632 Å, 90.00 90.00 90.00°
Space group I-42d (No. 122)
Inequivalent atoms, fractional coordinates:
Fe1 0.2157 0.2500 0.1250
Sb1 0.0000 0.0000 0.5000
As1 0.0000 0.0000 0.0000

Fe2SbAs: optimized geometry, PBE.

Calculated values
ρ	7.9	g cm⁻³
crystal system	monoclinic
size of the total moment	3.8	μB per formula unit

Cell: 7.5109 3.1271 5.7416 Å, 90.00 104.78 90.00°
Space group C2/m (No. 12)
Inequivalent atoms, fractional coordinates:
Fe1 0.2449 0.0000 0.1805
Sb1 0.0000 0.0000 0.5000
As1 0.0000 0.5000 0.0000

FeSbAs2: optimized geometry, PBE.

Calculated values
ρ	6.9	g cm⁻³
crystal system	orthorhombic
size of the total moment	1.6	μB per formula unit

Cell: 3.0690 4.6863 10.9588 Å, 90.00 90.00 90.00°
Space group Immm (No. 71)
Inequivalent atoms, fractional coordinates:
Fe1 0.0000 0.0000 0.0000
Sb1 0.0000 0.0000 0.5000
As1 0.0000 0.5000 0.3240

FeSb2As: optimized geometry, PBE.

Calculated values
ρ	7.2	g cm⁻³
crystal system	monoclinic
size of the total moment	2.2	μB per formula unit

Cell: 6.5637 3.7556 7.2893 Å, 90.00 107.32 90.00°
Space group C2/m (No. 12)
Inequivalent atoms, fractional coordinates:
Fe1 0.0000 0.0000 0.0000
Sb1 0.2427 0.5000 0.2276
As1 0.0000 0.5000 0.5000

Values of ΔE_f (raw), in order: 4.60; 2.00; 2.20; 0.95; 0.31; 2.19; 2.25; 2.17; 2.05; 0.71; 1.01; 1.11, all in eV/f.u..